# 1
# Li2Cd2Pd5 (PBE-GGA, optimized geometry)
data_Li2Cd2Pd5
_chemical_formula_sum 'Li8 Cd8 Pd20'
_space_group_name_H-M_alt 'I m m a'
_space_group_IT_number 74
_space_group_name_Hall '-I 2b 2'
_cell_length_a 5.7986
_cell_length_b 14.2745
_cell_length_c 6.9507
_cell_angle_alpha 90.00
_cell_angle_beta 90.00
_cell_angle_gamma 90.00
loop_
_atom_site_label
_atom_site_type_symbol
_atom_site_fract_x
_atom_site_fract_y
_atom_site_fract_z
Li1 Li 0.0000 0.0713 0.0431
Cd1 Cd 0.0000 0.0000 0.5000
Cd2 Cd 0.0000 0.2500 0.5426
Pd1 Pd 0.0000 0.2500 0.9553
Pd2 Pd 0.2500 0.1074 0.7500
Pd3 Pd 0.2500 0.1535 0.2500
# * crystal system: orthorhombic
# * M_tot: 0.0000 μB/atom
# * DFT total energy: -3.76 eV per atom

---

# 2
# Li7CdPd4 (PBE-GGA, optimized geometry)
data_Li7CdPd4
_chemical_formula_sum 'Li7 Cd1 Pd4'
_space_group_name_H-M_alt 'P -1'
_space_group_IT_number 2
_cell_length_a 5.5329
_cell_length_b 6.0019
_cell_length_c 6.3210
_cell_angle_alpha 72.78
_cell_angle_beta 65.19
_cell_angle_gamma 78.87
loop_
_space_group_symop_operation_xyz
'x,y,z'
'-x,-y,-z'
loop_
_atom_site_label
_atom_site_type_symbol
_atom_site_fract_x
_atom_site_fract_y
_atom_site_fract_z
Li1 Li 0.0000 0.0000 0.0000
Li2 Li 0.1633 0.6499 0.3584
Li3 Li 0.2499 0.0014 0.4997
Li4 Li 0.4150 0.6446 0.8158
Cd1 Cd 0.5000 0.0000 0.0000
Pd1 Pd 0.0899 0.3324 0.1682
Pd2 Pd 0.3228 0.3255 0.6696
# * crystal system: triclinic
# * M_tot: 0.0000 μB/atom
# * distance to the lowest polymorph of the same formula: 0 meV per atom

---

# 3
# Li5Cd5Pd2 (PBE-GGA, optimized geometry)
data_Li5Cd5Pd2
_chemical_formula_sum 'Li10 Cd10 Pd4'
_space_group_name_H-M_alt 'C 1 2/m 1'
_space_group_IT_number 12
_cell_length_a 13.7595
_cell_length_b 4.5968
_cell_length_c 8.0108
_cell_angle_alpha 90.00
_cell_angle_beta 124.62
_cell_angle_gamma 90.00
loop_
_space_group_symop_operation_xyz
'x,y,z'
'-x,-y,-z'
'-x,y,-z'
'x,-y,z'
'x+1/2,y+1/2,z'
'-x+1/2,-y+1/2,-z'
'-x+1/2,y+1/2,-z'
'x+1/2,-y+1/2,z'
loop_
_atom_site_label
_atom_site_type_symbol
_atom_site_fract_x
_atom_site_fract_y
_atom_site_fract_z
Li1 Li 0.0000 0.0000 0.0000
Li2 Li 0.0724 0.0000 0.4044
Li3 Li 0.2481 0.0000 0.2076
Cd1 Cd 0.0000 0.5000 0.5000
Cd2 Cd 0.0929 0.5000 0.9264
Cd3 Cd 0.1850 0.5000 0.3555
Pd1 Pd 0.1551 0.0000 0.7990
# * crystal system: monoclinic
# * M_tot: 0.0000 μB/atom
# * DFT total energy: -2.36 eV per atom

---

# 4
# LiCd4Pd7 (PBE-GGA, optimized geometry)
data_LiCd4Pd7
_chemical_formula_sum 'Li2 Cd8 Pd14'
_space_group_name_H-M_alt 'C 1 2/m 1'
_space_group_IT_number 12
_cell_length_a 10.0345
_cell_length_b 4.7793
_cell_length_c 10.1936
_cell_angle_alpha 90.00
_cell_angle_beta 118.21
_cell_angle_gamma 90.00
loop_
_space_group_symop_operation_xyz
'x,y,z'
'-x,-y,-z'
'-x,y,-z'
'x,-y,z'
'x+1/2,y+1/2,z'
'-x+1/2,-y+1/2,-z'
'-x+1/2,y+1/2,-z'
'x+1/2,-y+1/2,z'
loop_
_atom_site_label
_atom_site_type_symbol
_atom_site_fract_x
_atom_site_fract_y
_atom_site_fract_z
Li1 Li 0.0000 0.0000 0.0000
Cd1 Cd 0.0970 0.5000 0.7744
Cd2 Cd 0.2270 0.5000 0.3066
Pd1 Pd 0.0000 0.5000 0.0000
Pd2 Pd 0.0356 0.0000 0.3767
Pd3 Pd 0.1529 0.5000 0.5336
Pd4 Pd 0.1985 0.0000 0.9219
# * crystal system: monoclinic
# * M_tot: 0.0000 μB/atom
# * DFT total energy: -3.70 eV per atom

---

# 5
# LiCd3Pd7 (PBE-GGA, optimized geometry)
data_LiCd3Pd7
_chemical_formula_sum 'Li2 Cd6 Pd14'
_space_group_name_H-M_alt 'C 1 2/m 1'
_space_group_IT_number 12
_cell_length_a 9.3749
_cell_length_b 9.4687
_cell_length_c 4.9237
_cell_angle_alpha 90.00
_cell_angle_beta 115.91
_cell_angle_gamma 90.00
loop_
_space_group_symop_operation_xyz
'x,y,z'
'-x,-y,-z'
'-x,y,-z'
'x,-y,z'
'x+1/2,y+1/2,z'
'-x+1/2,-y+1/2,-z'
'-x+1/2,y+1/2,-z'
'x+1/2,-y+1/2,z'
loop_
_atom_site_label
_atom_site_type_symbol
_atom_site_fract_x
_atom_site_fract_y
_atom_site_fract_z
Li1 Li 0.0000 0.0000 0.0000
Cd1 Cd 0.0000 0.2853 0.5000
Cd2 Cd 0.0000 0.5000 0.0000
Pd1 Pd 0.0000 0.0000 0.5000
Pd2 Pd 0.1693 0.2539 0.1681
Pd3 Pd 0.2213 0.5000 0.5664
# * crystal system: monoclinic
# * M_tot: 0.0000 μB/atom
# * DFT total energy: -3.84 eV per atom

---

# 6
# Li7CdPd3 (PBE-GGA, optimized geometry)
data_Li7CdPd3
_chemical_formula_sum 'Li14 Cd2 Pd6'
_space_group_name_H-M_alt 'C 1 2/m 1'
_space_group_IT_number 12
_cell_length_a 9.4972
_cell_length_b 9.1758
_cell_length_c 4.7322
_cell_angle_alpha 90.00
_cell_angle_beta 119.14
_cell_angle_gamma 90.00
loop_
_space_group_symop_operation_xyz
'x,y,z'
'-x,-y,-z'
'-x,y,-z'
'x,-y,z'
'x+1/2,y+1/2,z'
'-x+1/2,-y+1/2,-z'
'-x+1/2,y+1/2,-z'
'x+1/2,-y+1/2,z'
loop_
_atom_site_label
_atom_site_type_symbol
_atom_site_fract_x
_atom_site_fract_y
_atom_site_fract_z
Li1 Li 0.0000 0.0000 0.0000
Li2 Li 0.1642 0.5000 0.1609
Li3 Li 0.1750 0.2819 0.6752
Cd1 Cd 0.0000 0.0000 0.5000
Pd1 Pd 0.0000 0.2680 0.0000
Pd2 Pd 0.0000 0.5000 0.5000
# * crystal system: monoclinic
# * M_tot: 0.0000 μB/atom
# * distance to the lowest polymorph of the same formula: 98 meV per atom

---

# 7
# Li12Cd3Pd (PBE-GGA, optimized geometry)
data_Li12Cd3Pd
_chemical_formula_sum 'Li12 Cd3 Pd1'
_space_group_name_H-M_alt 'P 4/m m m'
_space_group_IT_number 123
_space_group_name_Hall '-P 4 2'
_cell_length_a 4.0959
_cell_length_b 4.0959
_cell_length_c 16.6551
_cell_angle_alpha 90.00
_cell_angle_beta 90.00
_cell_angle_gamma 90.00
loop_
_atom_site_label
_atom_site_type_symbol
_atom_site_fract_x
_atom_site_fract_y
_atom_site_fract_z
Li1 Li 0.0000 0.0000 0.0000
Li2 Li 0.0000 0.0000 0.2399
Li3 Li 0.0000 0.0000 0.5000
Li4 Li 0.0000 0.5000 0.1088
Li5 Li 0.0000 0.5000 0.3696
Cd1 Cd 0.5000 0.5000 0.2379
Cd2 Cd 0.5000 0.5000 0.5000
Pd1 Pd 0.5000 0.5000 0.0000
# * crystal system: tetragonal
# * M_tot: 0.0000 μB/atom
# * DFT total energy: -2.12 eV per atom

---

# 8
# Li3Cd2Pd4 (PBE-GGA, optimized geometry)
data_Li3Cd2Pd4
_chemical_formula_sum 'Li3 Cd2 Pd4'
_space_group_name_H-M_alt 'P -1'
_space_group_IT_number 2
_cell_length_a 4.1161
_cell_length_b 4.8013
_cell_length_c 8.3428
_cell_angle_alpha 73.85
_cell_angle_beta 89.93
_cell_angle_gamma 64.70
loop_
_space_group_symop_operation_xyz
'x,y,z'
'-x,-y,-z'
loop_
_atom_site_label
_atom_site_type_symbol
_atom_site_fract_x
_atom_site_fract_y
_atom_site_fract_z
Li1 Li 0.0000 0.0000 0.0000
Li2 Li 0.3465 0.3080 0.4364
Cd1 Cd 0.3233 0.3538 0.7723
Pd1 Pd 0.0162 0.9680 0.3404
Pd2 Pd 0.3385 0.3224 0.1131
# * crystal system: triclinic
# * M_tot: 0.0000 μB/atom
# * distance to the lowest polymorph of the same formula: 0 meV per atom